[1]
This record from Alexandria describes a geometry-optimized LiTaTl2 structure. The functional is GGA-PBEsol.

The structure in extended XYZ format:
```
4
Lattice="-0.7465 -0.7274 -2.8348 3.6868 -3.2978 -0.1247 -3.5340 -4.0252 1.9635" Properties=species:S:1:pos:R:3 pbc="T T T"
Li -1.5549 -1.7710 0.8639
Ta -1.4487 -5.3371 0.1420
Tl -3.1914 -3.6349 1.7732
Tl 0.3002 -3.3451 -0.8297
```

The density of states at the Fermi level is 2.704 states/eV per cell. The value obtained for the total energy is -4.59 eV per atom. The symmetry is No. 25. The size of the total moment comes out at 0.00 Bohr magnetons per cell.

[2]
This record from Alexandria describes a geometry-optimized LiTa3Tl structure. The functional is GGA-PBEsol.

The structure in extended XYZ format:
```
5
Lattice="5.0903 0.0000 0.0000 0.0000 5.0903 0.0000 0.0000 0.0000 5.0903" Properties=species:S:1:pos:R:3 pbc="T T T"
Tl 0.0000 0.0000 0.0000
Li 2.5452 2.5452 2.5452
Ta 0.0000 2.5452 0.0000
Ta 0.0000 0.0000 2.5452
Ta 2.5452 0.0000 0.0000
```

The density of states at the Fermi level is 10.626 states/eV per cell. The value obtained for the total energy is -6.02 eV per atom. The symmetry is No. 221. The size of the total moment comes out at 0.05 Bohr magnetons per cell.

[3]
This record from Alexandria describes a geometry-optimized Li2Ta2W structure. The functional is GGA-PBEsol.

The structure in extended XYZ format:
```
5
Lattice="-0.7240 -1.1891 -2.9015 3.1346 -0.3562 -0.6362 -1.4268 -6.8660 4.9545" Properties=species:S:1:pos:R:3 pbc="T T T"
Li 1.4565 -3.9974 1.2747
Li -0.4728 -4.4139 0.1421
W 0.0000 0.0000 0.0000
Ta -0.1817 -6.2670 2.6136
Ta 1.1655 -2.1443 -1.1968
```

The density of states at the Fermi level is 5.125 states/eV per cell. The value obtained for the total energy is -7.95 eV per atom. The symmetry is No. 139. The size of the total moment comes out at 0.00 Bohr magnetons per cell.

[4]
This record from Alexandria describes a geometry-optimized Li4YTa structure. The functional is GGA-PBEsol.

The structure in extended XYZ format:
```
6
Lattice="-2.9915 0.7755 4.4016 1.9879 -1.2069 4.8494 1.2560 3.9332 3.4463" Properties=species:S:1:pos:R:3 pbc="T T T"
Li 0.0952 1.3212 4.7905
Li 0.7117 3.2518 6.4822
Li -1.3732 1.7018 6.9511
Li 1.0710 0.7288 7.1709
Ta 0.1892 2.6263 9.5230
Y 0.0000 0.0000 0.0000
```

The density of states at the Fermi level is 5.969 states/eV per cell. The value obtained for the total energy is -4.04 eV per atom. The symmetry is No. 216. The size of the total moment comes out at 2.18 Bohr magnetons per cell.

[5]
This record from Alexandria describes a geometry-optimized LiYTa structure. The functional is GGA-PBEsol.

The structure in extended XYZ format:
```
3
Lattice="-2.3319 -2.9806 -2.4396 0.4068 -4.4052 0.8382 -3.4151 -2.2605 1.8711" Properties=species:S:1:pos:R:3 pbc="T T T"
Li -1.3351 -2.4116 0.0674
Ta 0.0000 0.0000 0.0000
Y -2.6702 -4.8231 0.1348
```

The density of states at the Fermi level is 4.823 states/eV per cell. The value obtained for the total energy is -5.95 eV per atom. The symmetry is No. 216. For the polymorph energy (0 for the lowest one), the calculation gives 706 meV per atom. The size of the total moment comes out at 0.00 Bohr magnetons per cell.

[6]
This record from Alexandria describes a geometry-optimized LiYTa2 structure. The functional is GGA-PBEsol.

The structure in extended XYZ format:
```
4
Lattice="-1.1807 -3.9947 -2.2492 3.3759 -2.7975 -1.7857 0.8992 -4.1961 1.9986" Properties=species:S:1:pos:R:3 pbc="T T T"
Li 0.0000 0.0000 0.0000
Ta 0.7736 -2.7471 -0.5091
Ta 1.5472 -5.4942 -1.0181
Y 2.3207 -8.2413 -1.5272
```

The density of states at the Fermi level is 3.093 states/eV per cell. The value obtained for the total energy is -8.05 eV per atom. The symmetry is No. 216. For the polymorph energy (0 for the lowest one), the calculation gives 0 meV per atom. The size of the total moment comes out at 0.00 Bohr magnetons per cell.

[7]
This record from Alexandria describes a geometry-optimized LiYTa2 structure. The functional is GGA-PBEsol.

The structure in extended XYZ format:
```
8
Lattice="-1.2152 2.3890 2.8261 0.1579 -2.9384 2.5518 10.5123 2.7340 -0.4750" Properties=species:S:1:pos:R:3 pbc="T T T"
Y 5.0708 -0.2395 2.3829
Y 0.0000 0.0000 0.0000
Li 4.3842 2.4242 2.5200
Li -0.5286 -0.2747 2.6890
Ta 1.7058 0.1971 4.5802
Ta 2.2287 0.4832 1.9047
Ta 7.8306 0.5196 1.5859
Ta 7.1448 3.1693 1.7351
```

The density of states at the Fermi level is 8.405 states/eV per cell. The value obtained for the total energy is -7.75 eV per atom. The symmetry is No. 122. For the polymorph energy (0 for the lowest one), the calculation gives 297 meV per atom. The size of the total moment comes out at 0.00 Bohr magnetons per cell.

[8]
This record from Alexandria describes a geometry-optimized Li2YTa structure. The functional is GGA-PBEsol.

The structure in extended XYZ format:
```
4
Lattice="-2.2512 -1.6920 0.5609 1.7184 -3.1768 -2.6860 2.9157 -2.3426 4.6360" Properties=species:S:1:pos:R:3 pbc="T T T"
Li 2.2839 -1.8350 3.6315
Li 0.6318 -0.5076 1.0045
Ta -0.2664 -2.4344 -1.0626
Y 1.1915 -3.6057 1.2554
```

The density of states at the Fermi level is 4.380 states/eV per cell. The value obtained for the total energy is -5.24 eV per atom. The symmetry is No. 47. For the polymorph energy (0 for the lowest one), the calculation gives 0 meV per atom. The size of the total moment comes out at 0.00 Bohr magnetons per cell.